No. 1
Below is a geometry-optimized Cd3Hg5 structure, with properties calculated at the PBE level.

Computed properties:
Crystal system: monoclinic
ΔE to the lowest computed polymorph: 0.00 eV per formula unit
Formation energy: 0.2 eV/f.u.

The structure in POSCAR format:
```
Cd3Hg5
1.0
2.7113 -8.3250 0.0000
2.7113 8.3250 0.0000
-2.1450 0.0000 9.0195
Cd Hg
6 10
Cartesian
0.0000 0.0000 0.0000 Cd
0.0049 0.0000 6.7638 Cd
1.6395 4.6841 7.8889 Cd
2.7161 2.8084 3.3803 Cd
2.7161 -2.8084 3.3803 Cd
1.6395 -4.6841 7.8889 Cd
0.0103 2.8895 5.0733 Hg
2.7100 5.4361 1.6877 Hg
1.3513 0.0000 2.7522 Hg
0.0103 -2.8895 5.0733 Hg
2.8739 1.7121 0.3425 Hg
2.8739 -1.7121 0.3425 Hg
2.5566 1.7078 6.4141 Hg
2.5566 -1.7078 6.4141 Hg
2.7100 -5.4361 1.6877 Hg
4.0921 0.0000 4.0041 Hg
```

No. 2
Below is a geometry-optimized NaTcPt structure, with properties calculated at the PBE level.

Computed properties:
Crystal system: monoclinic
ΔE to the lowest computed polymorph: 0.26 eV per formula unit
Formation energy: 0.4 eV/f.u.

The structure in POSCAR format:
```
NaTcPt
1.0
4.4532 0.0000 0.0000
0.0000 2.7703 0.0000
-1.5354 0.0000 8.2413
Na Tc Pt
2 2 2
Cartesian
0.3486 0.6926 3.6810 Na
2.5692 2.0777 4.5603 Na
0.3291 2.0777 0.9760 Tc
2.5886 0.6926 7.2653 Tc
0.3327 2.0777 6.5158 Pt
2.5850 0.6926 1.7255 Pt
```

No. 3
Below is a geometry-optimized HfVBTe2 structure, with properties calculated at the PBE level.

Computed properties:
Crystal system: tetragonal

The structure in POSCAR format:
```
HfVBTe2
1.0
5.5196 0.0000 0.0000
0.0000 5.5196 0.0000
0.0000 0.0000 4.3996
Hf V B Te
1 1 1 2
Cartesian
0.0000 0.0000 0.0000 Hf
2.7598 2.7598 2.1998 V
0.0000 0.0000 2.1998 B
0.0000 2.7598 0.0000 Te
2.7598 0.0000 0.0000 Te
```

No. 4
Below is a geometry-optimized AgPdBr structure, with properties calculated at the PBE level.

Computed properties:
Crystal system: orthorhombic

The structure in POSCAR format:
```
AgPdBr
1.0
11.6760 0.0000 0.0000
0.0000 3.4868 0.0000
0.0000 0.0000 6.1032
Ag Pd Br
4 4 4
Cartesian
1.8843 0.0000 0.0000 Ag
1.8843 1.7434 3.0516 Ag
9.7917 0.0000 0.0000 Ag
9.7917 1.7434 3.0516 Ag
0.0000 0.0000 4.0710 Pd
0.0000 1.7434 1.0194 Pd
5.8380 0.0000 3.8581 Pd
5.8380 1.7434 0.8064 Pd
3.9362 0.0000 2.0794 Br
3.9362 1.7434 5.1310 Br
7.7398 0.0000 2.0794 Br
7.7398 1.7434 5.1310 Br
```

What are the DFT total energy values for these records? In order: -0.5024, -5.7763, -5.3290, -3.0664 eV per atom.